# 1
Density functional theory data (PBE) for an optimized crystal structure of NaCaSn14.

## Properties
ΔE_f: -70 meV/atom

Cell and atoms, written as CIF:
```
data_NaCaSn14
_chemical_formula_sum 'Na1 Ca1 Sn14'
_space_group_name_H-M_alt 'P 1'
_space_group_IT_number 1
_cell_length_a 6.6009
_cell_length_b 6.6009
_cell_length_c 10.0822
_cell_angle_alpha 90.00
_cell_angle_beta 90.00
_cell_angle_gamma 86.28
loop_
_space_group_symop_operation_xyz
'x,y,z'
loop_
_atom_site_label
_atom_site_fract_x
_atom_site_fract_y
_atom_site_fract_z
Na1 0.8750 0.8750 0.5000
Ca1 0.3750 0.3750 0.5000
Sn1 0.8750 0.8750 0.0000
Sn2 0.3750 0.3750 0.0000
Sn3 0.8750 0.3750 0.5000
Sn4 0.8750 0.3750 0.0000
Sn5 0.3750 0.8750 0.5000
Sn6 0.3750 0.8750 0.0000
Sn7 0.6281 0.1219 0.2491
Sn8 0.6281 0.1219 0.7509
Sn9 0.1219 0.6281 0.2491
Sn10 0.1219 0.6281 0.7509
Sn11 0.6259 0.6259 0.2529
Sn12 0.6259 0.6259 0.7471
Sn13 0.1241 0.1241 0.2529
Sn14 0.1241 0.1241 0.7471
```


# 2
Density functional theory data (PBE) for an optimized crystal structure of TcCl4F.

## Properties
uncorrected formation energy: -553 meV per atom

Cell and atoms, written as CIF:
```
data_TcCl4F
_chemical_formula_sum 'Tc2 Cl8 F2'
_space_group_name_H-M_alt 'P 1'
_space_group_IT_number 1
_cell_length_a 7.6713
_cell_length_b 7.6714
_cell_length_c 7.6711
_cell_angle_alpha 62.12
_cell_angle_beta 62.46
_cell_angle_gamma 94.02
loop_
_space_group_symop_operation_xyz
'x,y,z'
loop_
_atom_site_label
_atom_site_fract_x
_atom_site_fract_y
_atom_site_fract_z
Tc1 0.6258 0.8758 0.7500
Tc2 0.3742 0.1242 0.2500
Cl1 0.2800 0.7564 0.9764
Cl2 0.7328 0.7564 0.5236
Cl3 0.2549 0.2324 0.0225
Cl4 0.7200 0.2436 0.0236
Cl5 0.2549 0.7773 0.4775
Cl6 0.7451 0.7676 0.9775
Cl7 0.2672 0.2435 0.4764
Cl8 0.7451 0.2227 0.5224
F1 0.8763 0.6263 0.2500
F2 0.1236 0.3736 0.7500
```